Computed, not measured: K2SrSiN after structural relaxation at the PBEsol level of DFT.

```
K2SrSiN
1.0
3.5392 0.0000 0.0000
0.0000 7.2764 0.0000
0.0000 0.0000 7.2764
K N Sr Si
2 1 1 1
Direct
0.0000 0.5000 0.0000
0.0000 0.0000 0.5000
0.5000 0.0000 0.0000
0.5000 0.5000 0.5000
0.0000 0.0000 0.0000
```

Results
Space group ... P4/mmm (123)
Uncorrected formation energy ... 502 meV per atom